A relaxed structure of ZrRuBr4, computed with GGA-PBE.

abc: 8.488 8.488 8.488
angles: 90.00 90.00 90.00
Space group F-43m (No. 216)
One atom of each set of equivalent atoms:
Zr  0.000  0.000  0.000 [4 per cell]
Ru  0.250  0.250  0.250 [4 per cell]
Br  0.125  0.125  0.625 [16 per cell]

For the total energy, the calculation gives -2.9249 eV/atom. For the formation energy (no corrections), the calculation gives 6.97 eV/f.u.